! PmDy2Co (PBE, optimized geometry); values from VASP
! - N(E_F) (states/eV/f.u.) = 4.70
! - SG = No. 160
! - DFT formation energy (eV/atom) = -0.018
! - excess energy over the best structure of this formula in the dataset (meV per atom) = 119
&SYSTEM
  ibrav = 0, nat = 4, ntyp = 3
/
ATOMIC_SPECIES
Pm 145.00 Pm.upf
Dy 162.50 Dy.upf
Co 58.93 Co.upf
CELL_PARAMETERS angstrom
3.787 0.000 0.000
1.893 3.279 0.000
1.893 1.093 9.020
ATOMIC_POSITIONS crystal
Pm 0.501 0.501 0.496
Dy 0.055 0.055 0.835
Dy 0.277 0.277 0.168
Co 0.666 0.666 0.001